(1)
Entry from the Alexandria database: a geometry-optimized Er8Tm4Sc3 structure (PBE-GGA).

extended XYZ file:
```
15
Lattice="6.5124 -6.2096 0.0000 6.5124 6.2096 0.0000 -3.3157 0.0000 5.6783" Properties=species:S:1:pos:R:3 pbc="T T T"
Er 6.5124 4.4001 0.0000
Er -0.3776 0.0000 5.6380
Er 1.3855 0.0000 2.7351
Er 4.8545 3.1943 2.8391
Er 4.8545 -3.1943 2.8391
Er 8.3236 0.0000 2.9432
Er 10.0867 0.0000 0.0403
Er 6.5124 -4.4001 0.0000
Tm 3.2562 3.1048 0.0000
Tm 3.2562 -3.1048 0.0000
Tm 6.5124 0.0000 0.0000
Tm 4.8545 0.0000 2.8391
Sc -1.6579 0.0000 2.8391
Sc 1.5983 3.1048 2.8391
Sc 1.5983 -3.1048 2.8391
```

## Properties
- calculated total energy (eV/cell) = -67.301
- ρ (g/cm3) = 7.8

***

(2)
Entry from the Alexandria database: a geometry-optimized BaHgSb structure (PBE-GGA).

extended XYZ file:
```
18
Lattice="-4.8607 7.5462 4.2535 4.8607 -7.5462 4.2535 4.8607 7.5462 -4.2535" Properties=species:S:1:pos:R:3 pbc="T T T"
Ba 2.4304 0.0012 0.0000
Ba 2.4304 7.5450 4.2535
Ba 2.4304 4.4184 0.7414
Ba 2.4304 -3.1327 4.9977
Ba 2.4304 3.1279 4.9949
Ba 2.4304 10.6790 0.7442
Hg 4.8598 5.6618 -1.9339
Hg 4.8617 -1.8844 2.3196
Hg 0.0010 1.8844 2.3196
Hg 4.8598 1.8844 2.3196
Hg 0.0000 7.5462 1.2648
Hg 0.0000 0.0000 5.5184
Sb 4.8606 2.3902 -1.0358
Sb 4.8609 -5.1560 3.2177
Sb 2.4304 7.5496 -0.7165
Sb 2.4304 -0.0034 3.5371
Sb 0.0001 5.1560 3.2177
Sb 4.8606 5.1560 3.2177
```

## Properties
- calculated total energy (eV/cell) = -50.169
- ρ (g/cm3) = 7.3

***

(3)
Entry from the Alexandria database: a geometry-optimized NbNiI3 structure (PBE-GGA).

extended XYZ file:
```
5
Lattice="5.2358 0.0000 0.0000 0.0000 5.2358 0.0000 0.0000 0.0000 5.2358" Properties=species:S:1:pos:R:3 pbc="T T T"
Nb 0.0000 0.0000 0.0000
Ni 2.6179 2.6179 2.6179
I 0.0000 2.6179 2.6179
I 2.6179 0.0000 2.6179
I 2.6179 2.6179 0.0000
```

## Properties
- calculated total energy (eV/cell) = -16.872
- ρ (g/cm3) = 6.2

***

(4)
Entry from the Alexandria database: a geometry-optimized Ba2NiP structure (PBE-GGA).

extended XYZ file:
```
4
Lattice="5.3873 0.0000 0.0000 0.0000 5.3873 0.0000 0.0000 0.0000 4.0345" Properties=species:S:1:pos:R:3 pbc="T T T"
Ba 0.0000 2.6936 0.0000
Ba 2.6936 0.0000 0.0000
Ni 0.0000 0.0000 2.0172
P 2.6936 2.6936 2.0172
```

## Properties
- calculated total energy (eV/cell) = -15.905
- ρ (g/cm3) = 5.2

***

(5)
Entry from the Alexandria database: a geometry-optimized Ta2FeRh structure (PBE-GGA).

extended XYZ file:
```
4
Lattice="0.0000 3.1342 3.1342 3.1342 0.0000 3.1342 3.1342 3.1342 0.0000" Properties=species:S:1:pos:R:3 pbc="T T T"
Ta 0.0000 0.0000 0.0000
Ta 1.5671 1.5671 1.5671
Fe 3.1342 3.1342 3.1342
Rh 4.7013 4.7013 4.7013
```

## Properties
- calculated total energy (eV/cell) = -39.736
- ρ (g/cm3) = 14.0

***

(6)
Entry from the Alexandria database: a geometry-optimized SmCdGe structure (PBE-GGA).

extended XYZ file:
```
3
Lattice="0.0000 3.3730 3.3730 3.3730 0.0000 3.3730 3.3730 3.3730 0.0000" Properties=species:S:1:pos:R:3 pbc="T T T"
Sm 0.0000 0.0000 0.0000
Cd 3.3730 3.3730 3.3730
Ge 1.6865 1.6865 1.6865
```

## Properties
- calculated total energy (eV/cell) = -11.472
- ρ (g/cm3) = 7.3

***

(7)
Entry from the Alexandria database: a geometry-optimized LiNd3Co structure (PBE-GGA).

extended XYZ file:
```
5
Lattice="5.4040 0.0000 0.0000 0.0000 5.4040 0.0000 0.0000 0.0000 5.4040" Properties=species:S:1:pos:R:3 pbc="T T T"
Li 0.0000 0.0000 0.0000
Nd 0.0000 2.7020 2.7020
Nd 2.7020 0.0000 2.7020
Nd 2.7020 2.7020 0.0000
Co 2.7020 2.7020 2.7020
```

## Properties
- calculated total energy (eV/cell) = -22.917
- ρ (g/cm3) = 5.2

***

(8)
Entry from the Alexandria database: a geometry-optimized KGaAgMo2 structure (PBE-GGA).

extended XYZ file:
```
5
Lattice="5.4165 0.0000 0.0000 0.0000 5.4165 0.0000 0.0000 0.0000 4.9179" Properties=species:S:1:pos:R:3 pbc="T T T"
K 0.0000 0.0000 0.0000
Ga 2.7083 2.7083 0.0000
Ag 2.7083 2.7083 2.4590
Mo 0.0000 2.7083 2.4590
Mo 2.7083 0.0000 2.4590
```

## Properties
- calculated total energy (eV/cell) = -20.176
- ρ (g/cm3) = 4.7